Record 1
Computed, not measured: a relaxed Hg2BiHBr crystal at the PBE level of DFT.

a b c (Å): 5.832 5.832 4.119
angles (deg): 90.00 90.00 90.00
Space group P4/mmm (No. 123)
One atom of each set of equivalent atoms:
Hg (0.000, 0.500, 0.000) x2
Bi (0.000, 0.000, 0.000) x1
H (0.000, 0.000, 0.500) x1
Br (0.500, 0.500, 0.500) x1

Values from the calculation:
For the total energy, the calculation gives -0.0686 hartree per atom.

***

Record 2
Computed, not measured: a relaxed La5Y3Tm crystal at the PBE level of DFT.

a b c (Å): 19.156 6.528 11.648
angles (deg): 90.00 116.21 90.00
Space group C2/c (No. 15)
One atom of each set of equivalent atoms:
La (0.000, 0.096, 0.250) x4
La (0.164, 0.200, 0.710) x8
La (0.175, 0.315, 0.360) x8
Y (0.000, 0.500, 0.000) x4
Y (0.160, 0.218, 0.015) x8
Tm (0.000, 0.380, 0.750) x4

Values from the calculation:
The formation energy comes out at 2.17 eV per formula unit.

***

Record 3
Computed, not measured: a relaxed SrLiOs crystal at the PBE level of DFT.

a b c (Å): 6.843 6.843 6.843
angles (deg): 90.00 90.00 90.00
Space group F-43m (No. 216)
One atom of each set of equivalent atoms:
Sr (0.000, 0.000, 0.000) x4
Li (0.250, 0.250, 0.250) x4
Os (0.250, 0.250, 0.750) x4

Values from the calculation:
The formation energy comes out at 4.53 eV per formula unit. The excess energy over the best structure of this formula in the dataset is 86.81 kJ/mol of atoms.

***

Record 4
Computed, not measured: a relaxed Tb3Pr5Th2 crystal at the PBE level of DFT.

a b c (Å): 11.122 14.762 10.095
angles (deg): 90.00 123.33 90.00
Space group C2/c (No. 15)
One atom of each set of equivalent atoms:
Tb (0.000, 0.233, 0.250) x4
Tb (0.149, 0.126, 0.053) x8
Pr (0.000, 0.024, 0.250) x4
Pr (0.000, 0.277, 0.750) x4
Pr (0.000, 0.486, 0.750) x4
Pr (0.250, 0.128, 0.752) x8
Th (0.157, 0.373, 0.559) x8

Values from the calculation:
The formation energy comes out at 2.11 eV per formula unit.

***

Record 5
Computed, not measured: a relaxed BaP2Ir crystal at the PBE level of DFT.

a b c (Å): 10.320 3.735 5.436
angles (deg): 90.00 104.35 90.00
Space group Cm (No. 8)
One atom of each set of equivalent atoms:
Ba (0.000, 0.000, 0.000) x2
P (0.208, 0.000, 0.584) x2
P (0.422, 0.000, 0.494) x2
Ir (0.276, 0.500, 0.390) x2

Values from the calculation:
The formation energy comes out at -1.56 eV per formula unit.

***

Record 6
Computed, not measured: a relaxed YHo3 crystal at the PBE level of DFT.

a b c (Å): 4.994 4.994 10.017
angles (deg): 90.00 90.00 90.00
Space group I4/mmm (No. 139)
One atom of each set of equivalent atoms:
Y (0.000, 0.000, 0.000) x2
Ho (0.000, 0.000, 0.500) x2
Ho (0.000, 0.500, 0.250) x4

Values from the calculation:
The formation energy comes out at 0.09 eV per formula unit. The excess energy over the best structure of this formula in the dataset is 1.88 kJ/mol of atoms.

***

Record 7
Computed, not measured: a relaxed ZrBr2 crystal at the PBE level of DFT.

a b c (Å): 6.866 6.982 3.420
angles (deg): 90.00 90.00 90.00
Space group Pnnm (No. 58)
One atom of each set of equivalent atoms:
Zr (0.000, 0.000, 0.000) x2
Br (0.245, 0.197, 0.500) x4

Values from the calculation:
The uncorrected formation energy comes out at -0.959 eV per atom.

***

Record 8
Computed, not measured: a relaxed SrVH crystal at the PBE level of DFT.

a b c (Å): 3.2246 3.2246 11.3253
angles (deg): 90.00 90.00 120.00
Space group P6_3mc (No. 186)
One atom of each set of equivalent atoms:
Sr (0.3333, 0.6667, 0.0000) x2
V (0.3333, 0.6667, 0.2691) x2
H (0.0000, 0.0000, 0.3211) x2

Values from the calculation:
The excess energy over the best structure of this formula in the dataset is 53.97 kJ/mol of atoms.